# PBE MgMoPt, relaxed
# Energy relative to the lowest polymorph listed for this composition = 1.104 eV per atom
# ΔH_f (0 K) = 0.763 eV/atom
data_MgMoPt
_space_group_name_H-M_alt 'F -4 3 m'
_space_group_IT_number 216
_space_group_name_Hall 'F -4 2 3'
_cell_length_a 6.113
_cell_length_b 6.113
_cell_length_c 6.113
_cell_angle_alpha 90.00
_cell_angle_beta 90.00
_cell_angle_gamma 90.00
loop_
_atom_site_label
_atom_site_type_symbol
_atom_site_fract_x
_atom_site_fract_y
_atom_site_fract_z
Mg1 Mg 0.000 0.000 0.000
Mo1 Mo 0.250 0.250 0.750
Pt1 Pt 0.250 0.250 0.250


# PBE LaSm2Dy3As6, relaxed
# ΔH_f (0 K) = -1.532 eV/atom
data_LaSm2Dy3As6
_space_group_name_H-M_alt 'C 1 2/m 1'
_space_group_IT_number 12
_space_group_name_Hall '-C 2y'
_cell_length_a 7.268
_cell_length_b 12.586
_cell_length_c 7.263
_cell_angle_alpha 90.00
_cell_angle_beta 109.47
_cell_angle_gamma 90.00
loop_
_atom_site_label
_atom_site_type_symbol
_atom_site_fract_x
_atom_site_fract_y
_atom_site_fract_z
La1 La 0.000 0.000 0.000
Sm1 Sm 0.000 0.333 0.000
Dy1 Dy 0.000 0.166 0.500
Dy2 Dy 0.000 0.500 0.500
As1 As 0.245 0.331 0.742
As2 As 0.249 0.500 0.258


Entry from Alexandria: a relaxed structure of KRe2Sb (PBE).

Cell and atoms, written as CIF:
```
data_KRe2Sb
_space_group_name_H-M_alt 'I 4/m m m'
_space_group_IT_number 139
_space_group_name_Hall '-I 4 2'
_cell_length_a 3.999
_cell_length_b 3.999
_cell_length_c 9.950
_cell_angle_alpha 90.00
_cell_angle_beta 90.00
_cell_angle_gamma 90.00
loop_
_atom_site_label
_atom_site_type_symbol
_atom_site_fract_x
_atom_site_fract_y
_atom_site_fract_z
K1 K 0.000 0.000 0.000
Re1 Re 0.000 0.500 0.250
Sb1 Sb 0.000 0.000 0.500
```


# PBE ScMoRh, relaxed
# Energy relative to the lowest polymorph listed for this composition = 0.000 eV per atom
# ΔH_f (0 K) = -0.211 eV/atom
data_ScMoRh
_space_group_name_H-M_alt 'I 4 m m'
_space_group_IT_number 107
_space_group_name_Hall 'I 4 -2'
_cell_length_a 2.977
_cell_length_b 2.977
_cell_length_c 11.429
_cell_angle_alpha 90.00
_cell_angle_beta 90.00
_cell_angle_gamma 90.00
loop_
_atom_site_label
_atom_site_type_symbol
_atom_site_fract_x
_atom_site_fract_y
_atom_site_fract_z
Sc1 Sc 0.000 0.000 0.000
Mo1 Mo 0.000 0.000 0.313
Rh1 Rh 0.000 0.000 0.666


# PBE La7Cd2Cu2, relaxed
# ΔH_f (0 K) = -0.029 eV/atom
data_La7Cd2Cu2
_space_group_name_H-M_alt 'C m m m'
_space_group_IT_number 65
_space_group_name_Hall '-C 2 2'
_cell_length_a 8.201
_cell_length_b 11.687
_cell_length_c 7.401
_cell_angle_alpha 90.00
_cell_angle_beta 90.00
_cell_angle_gamma 90.00
loop_
_atom_site_label
_atom_site_type_symbol
_atom_site_fract_x
_atom_site_fract_y
_atom_site_fract_z
La1 La 0.000 0.000 0.000
La2 La 0.000 0.500 0.237
La3 La 0.250 0.250 0.267
Cd1 Cd 0.169 0.000 0.500
Cu1 Cu 0.000 0.289 0.000


# PBE LaHgMo2, relaxed
# ΔH_f (0 K) = 0.408 eV/atom
data_LaHgMo2
_space_group_name_H-M_alt 'R 3 m'
_space_group_IT_number 160
_space_group_name_Hall 'R 3 -2"'
_cell_length_a 3.2720
_cell_length_b 3.2720
_cell_length_c 28.6261
_cell_angle_alpha 90.00
_cell_angle_beta 90.00
_cell_angle_gamma 120.00
loop_
_atom_site_label
_atom_site_type_symbol
_atom_site_fract_x
_atom_site_fract_y
_atom_site_fract_z
La1 La 0.0000 0.0000 0.0000
Hg1 Hg 0.0000 0.0000 0.7674
Mo1 Mo 0.0000 0.0000 0.2419
Mo2 Mo 0.0000 0.0000 0.5173


# PBE Ca2AsPt, relaxed
# ΔH_f (0 K) = -0.747 eV/atom
data_Ca2AsPt
_space_group_name_H-M_alt 'I -4 m 2'
_space_group_IT_number 119
_space_group_name_Hall 'I -4 -2'
_cell_length_a 4.199
_cell_length_b 4.199
_cell_length_c 10.149
_cell_angle_alpha 90.00
_cell_angle_beta 90.00
_cell_angle_gamma 90.00
loop_
_atom_site_label
_atom_site_type_symbol
_atom_site_fract_x
_atom_site_fract_y
_atom_site_fract_z
Ca1 Ca 0.000 0.000 0.000
Ca2 Ca 0.000 0.500 0.250
As1 As 0.000 0.000 0.500
Pt1 Pt 0.000 0.500 0.750


Entry from Alexandria: a relaxed structure of Ba2NaUS6 (PBE).

Cell and atoms, written as CIF:
```
data_Ba2NaUS6
_space_group_name_H-M_alt 'P 1 21/c 1'
_space_group_IT_number 14
_space_group_name_Hall '-P 2ybc'
_cell_length_a 7.209
_cell_length_b 7.671
_cell_length_c 12.240
_cell_angle_alpha 90.00
_cell_angle_beta 123.57
_cell_angle_gamma 90.00
loop_
_atom_site_label
_atom_site_type_symbol
_atom_site_fract_x
_atom_site_fract_y
_atom_site_fract_z
Ba1 Ba 0.216 0.075 0.243
Na1 Na 0.000 0.000 0.500
U1 U 0.500 0.000 0.000
S1 S 0.173 0.186 0.958
S2 S 0.268 0.723 0.950
S3 S 0.356 0.022 0.760
```


# PBE Sc2TiHgC, relaxed
# ΔH_f (0 K) = -0.527 eV/atom
data_Sc2TiHgC
_space_group_name_H-M_alt 'P 4/m m m'
_space_group_IT_number 123
_space_group_name_Hall '-P 4 2'
_cell_length_a 4.519
_cell_length_b 4.519
_cell_length_c 4.260
_cell_angle_alpha 90.00
_cell_angle_beta 90.00
_cell_angle_gamma 90.00
loop_
_atom_site_label
_atom_site_type_symbol
_atom_site_fract_x
_atom_site_fract_y
_atom_site_fract_z
Sc1 Sc 0.000 0.500 0.000
Ti1 Ti 0.000 0.000 0.500
Hg1 Hg 0.500 0.500 0.500
C1 C 0.000 0.000 0.000


Entry from Alexandria: a relaxed structure of TlRh2Se (PBE).

Cell and atoms, written as CIF:
```
data_TlRh2Se
_space_group_name_H-M_alt 'P 4 m m'
_space_group_IT_number 99
_space_group_name_Hall 'P 4 -2'
_cell_length_a 3.433
_cell_length_b 3.433
_cell_length_c 6.259
_cell_angle_alpha 90.00
_cell_angle_beta 90.00
_cell_angle_gamma 90.00
loop_
_atom_site_label
_atom_site_type_symbol
_atom_site_fract_x
_atom_site_fract_y
_atom_site_fract_z
Tl1 Tl 0.000 0.000 0.000
Rh1 Rh 0.000 0.000 0.499
Rh2 Rh 0.500 0.500 0.230
Se1 Se 0.500 0.500 0.619
```


# PBE ErTmHg6, relaxed
# Energy relative to the lowest polymorph listed for this composition = 0.025 eV per atom
# ΔH_f (0 K) = -0.287 eV/atom
data_ErTmHg6
_space_group_name_H-M_alt 'P 4/m m m'
_space_group_IT_number 123
_space_group_name_Hall '-P 4 2'
_cell_length_a 4.474
_cell_length_b 4.474
_cell_length_c 9.606
_cell_angle_alpha 90.00
_cell_angle_beta 90.00
_cell_angle_gamma 90.00
loop_
_atom_site_label
_atom_site_type_symbol
_atom_site_fract_x
_atom_site_fract_y
_atom_site_fract_z
Er1 Er 0.000 0.000 0.000
Tm1 Tm 0.000 0.000 0.500
Hg1 Hg 0.000 0.500 0.251
Hg2 Hg 0.500 0.500 0.000
Hg3 Hg 0.500 0.500 0.500


For each record above, in turn, the calculated magnetic moment values are 1.03, 0.00, 0.00, 0.00, 0.00, 0.00, 0.00, 0.10, 0.00, 0.00, 0.00 μB per atom.
For each record above, in turn, the calculated uncorrected energy values are -64.7, -148.9, -47.5, -50.3, -89.7, -75.8, -35.4, -111.7, -32.7, -20.7, -13.1 eV per cell.